1.
First-principles (PBE) data for BeSN2 after structural relaxation, as listed in Alexandria via LeMat-Bulk.

The value obtained for the magnetization is 0.00 μB per cell. The formation energy without anion corrections is 2.2 eV per formula unit. The relative energy among the computed polymorphs is 0 meV/atom.

The structure belongs to space group R-3m (No. 166, hexagonal axes); the cell edges are 2.8656, 2.8656 and 15.3269 Å and the angles 90.00°, 90.00° and 120.00°. The asymmetric unit holds Be at (0.0000, 0.0000, 0.0000), S at (0.0000, 0.0000, 0.5000) and N at (0.0000, 0.0000, 0.3955).

2.
First-principles (PBE) data for BeS2N2 after structural relaxation, as listed in Alexandria via LeMat-Bulk.

The value obtained for the magnetization is 0.67 μB per cell. The formation energy without anion corrections is 8.6 eV per formula unit. The relative energy among the computed polymorphs is 530 meV/atom.

The structure belongs to space group P4/mmm (No. 123); the cell edges are 4.388, 4.388 and 3.090 Å and the angles 90.00°, 90.00° and 90.00°. The asymmetric unit holds Be at (0.000, 0.000, 0.000), S at (0.000, 0.500, 0.000), N at (0.000, 0.000, 0.500) and N at (0.500, 0.500, 0.500).

3.
First-principles (PBE) data for BeSN2 after structural relaxation, as listed in Alexandria via LeMat-Bulk.

The value obtained for the magnetization is 0.00 μB per cell. The formation energy without anion corrections is 2.6 eV per formula unit. The relative energy among the computed polymorphs is 103 meV/atom.

The structure belongs to space group I-42d (No. 122); the cell edges are 4.096, 4.096 and 9.287 Å and the angles 90.00°, 90.00° and 90.00°. The asymmetric unit holds Be at (0.000, 0.000, 0.000), S at (0.000, 0.000, 0.500) and N at (0.227, 0.250, 0.125).

What did the third record say?
First-principles (PBE) data for BeSN2 after structural relaxation, as listed in Alexandria via LeMat-Bulk.

The value obtained for the magnetization is 0.00 μB per cell. The formation energy without anion corrections is 2.6 eV per formula unit. The relative energy among the computed polymorphs is 103 meV/atom.

The structure belongs to space group I-42d (No. 122); the cell edges are 4.096, 4.096 and 9.287 Å and the angles 90.00°, 90.00° and 90.00°. The asymmetric unit holds Be at (0.000, 0.000, 0.000), S at (0.000, 0.000, 0.500) and N at (0.227, 0.250, 0.125).

Question: What is the relative energy among the computed polymorphs in the first record?
Answer: 0 meV/atom

Question: Which of these has the highest formation energy without anion corrections?
Answer: BeS2N2